NiPb2Au: relaxed, GGA-PBEsol.

Lattice parameters (Å, degrees): 3.3765 3.3764 7.1567 90.00 89.30 90.00
Atoms (fractional coordinates):
Au 0.5000 0.5000 0.0000
Ni 0.5000 0.5000 0.5000
Pb 0.0012 0.0000 0.7262
Pb 0.9988 0.0000 0.2738

Output
Energy above the most stable polymorph in this dataset, eV/f.u.: 0.050
Total magnetization, μB/f.u.: 0.0
D(E_F), states/eV/cell: 2.05
Space group: P2/m (10)
Energy of formation, kJ per mole of atoms: 20